Record 1
AcLaIr | Alexandria via LeMat-Bulk | PBE-GGA | relaxed; Fermi-level density of states = 3.084 states/eV/f.u.; formation enthalpy at 0 K = -0.607 eV/atom; uncorrected energy = -6.572 eV per atom; M_tot = 0.0000 μB/atom; energy above the lowest structure with this stoichiometry = 0.00 eV/f.u.
1.0
4.354 0.000 0.000
0.000 7.114 -2.458
0.000 -0.147 6.973
Ir Ac La
2 2 2
Direct
0.303 0.019 0.561
0.803 0.519 0.561
0.303 0.276 0.313
0.303 0.762 0.808
0.803 0.779 0.345
0.803 0.258 0.777

Record 2
Hf2ReB2 | Alexandria via LeMat-Bulk | PBE-GGA | relaxed; Fermi-level density of states = 1.597 states/eV/f.u.; formation enthalpy at 0 K = -0.689 eV/atom; uncorrected energy = -9.830 eV per atom; M_tot = 0.0000 μB/atom
1.0
-1.170 -0.339 -3.080
-4.936 -0.557 0.155
-2.870 3.900 -1.121
B Hf Re
2 2 1
Direct
0.500 0.677 0.323
0.500 0.323 0.677
0.214 0.286 0.286
0.786 0.714 0.714
0.000 0.000 0.000

Record 3
NiIrRh | Alexandria via LeMat-Bulk | PBE-GGA | relaxed; Fermi-level density of states = 5.743 states/eV/f.u.; formation enthalpy at 0 K = 0.057 eV/atom; uncorrected energy = -7.274 eV per atom; M_tot = 0.0006 μB/atom; energy above the lowest structure with this stoichiometry = 0.14 eV/f.u.
1.0
-0.663 -0.242 4.287
-4.563 -5.163 -0.997
1.619 -2.165 0.128
Ni Ir Rh
2 2 2
Direct
0.750 0.947 0.277
0.250 0.053 0.723
0.250 0.737 0.382
0.750 0.263 0.618
0.250 0.382 0.059
0.750 0.618 0.941

Record 4
Ac4DySn5 | Alexandria via LeMat-Bulk | PBE-GGA | relaxed; Fermi-level density of states = 7.680 states/eV/f.u.; formation enthalpy at 0 K = -0.604 eV/atom; uncorrected energy = -4.709 eV per atom; M_tot = 0.0000 μB/atom
1.0
-1.013 -2.484 -2.677
3.189 0.751 -1.904
10.585 -16.434 11.248
Ac Dy Sn
4 1 5
Direct
0.000 0.000 0.190
0.000 0.000 0.810
0.000 0.000 0.397
0.000 0.000 0.603
0.000 0.000 0.000
0.500 0.500 0.913
0.500 0.500 0.500
0.500 0.500 0.707
0.500 0.500 0.087
0.500 0.500 0.293

Record 5
KAlRh | Alexandria via LeMat-Bulk | PBE-GGA | relaxed; Fermi-level density of states = 2.059 states/eV/f.u.; formation enthalpy at 0 K = -0.174 eV/atom; uncorrected energy = -4.238 eV per atom; M_tot = 0.0000 μB/atom; energy above the lowest structure with this stoichiometry = 0.00 eV/f.u.
1.0
-3.461 -0.491 5.681
-0.207 -0.594 6.640
-0.237 3.187 1.145
Al K Rh
1 1 1
Direct
0.065 0.065 0.935
0.329 0.329 0.671
0.606 0.606 0.394

Record 6
LaScSiOs2 | Alexandria via LeMat-Bulk | PBE-GGA | relaxed; Fermi-level density of states = 6.297 states/eV/f.u.; uncorrected energy = -5.724 eV per atom; M_tot = 0.0004 μB/atom; formation energy without anion corrections = 2.104 eV/atom
1.0
4.812 0.000 0.000
0.000 5.124 0.000
0.000 0.000 4.812
Si Os La Sc
1 2 1 1
Direct
0.500 0.500 0.500
0.500 0.000 0.000
0.000 0.000 0.500
0.000 0.000 0.000
0.000 0.500 0.000

Record 7
NdMgNiRu | Alexandria via LeMat-Bulk | PBE-GGA | relaxed; Fermi-level density of states = 1.770 states/eV/f.u.; formation enthalpy at 0 K = -0.051 eV/atom; uncorrected energy = -5.406 eV per atom; M_tot = 0.0000 μB/atom
1.0
-4.483 0.901 -1.032
-3.417 -2.499 2.014
-2.787 1.992 3.199
Nd Ru Mg Ni
1 1 1 1
Direct
0.000 0.000 0.000
0.250 0.250 0.250
0.500 0.500 0.500
0.750 0.750 0.750

Record 8
Hf6AlSn | Alexandria via LeMat-Bulk | PBE-GGA | relaxed; Fermi-level density of states = 7.218 states/eV/f.u.; formation enthalpy at 0 K = 0.252 eV/atom; uncorrected energy = -8.182 eV per atom; M_tot = 0.0000 μB/atom; energy above the lowest structure with this stoichiometry = 3.88 eV/f.u.
1.0
6.278 -0.590 -0.655
-2.884 5.608 -0.655
-1.219 -1.802 5.908
Hf Al Sn
6 1 1
Direct
0.976 0.524 0.741
0.024 0.476 0.259
0.476 0.024 0.259
0.524 0.976 0.741
0.748 0.748 0.256
0.252 0.252 0.744
0.500 0.500 0.500
0.000 0.000 0.000

Q: Among the records above, which one has the highest M_tot?
A: NiIrRh